! Zn2SiRh (PBE-GGA, relaxed); values from VASP
! Fermi-level density of states ... 1.56 states/eV/cell
! Formation energy without anion corrections ... -0.75 eV/f.u.
&SYSTEM
  ibrav = 0, nat = 4, ntyp = 3
/
ATOMIC_SPECIES
Zn 65.41 Zn.upf
Rh 102.91 Rh.upf
Si 28.09 Si.upf
ATOMIC_POSITIONS crystal
Zn 0.500 0.500 0.000
Rh 0.500 0.000 0.500
Zn 0.000 0.000 0.000
Si 0.000 0.500 0.500
CELL_PARAMETERS angstrom
4.563 0.040 0.000
-1.847 4.172 0.000
0.000 0.000 2.956


! Zn2SiRh (PBE-GGA, relaxed); values from VASP
! Fermi-level density of states ... 1.75 states/eV/cell
! Formation energy without anion corrections ... -0.81 eV/f.u.
&SYSTEM
  ibrav = 0, nat = 4, ntyp = 3
/
ATOMIC_SPECIES
Zn 65.41 Zn.upf
Rh 102.91 Rh.upf
Si 28.09 Si.upf
ATOMIC_POSITIONS crystal
Zn 0.500 0.500 0.000
Zn 0.000 0.000 0.000
Rh 0.500 0.000 0.500
Si 0.000 0.500 0.500
CELL_PARAMETERS angstrom
-2.220 1.489 2.563
1.971 -1.722 2.707
2.383 3.122 0.251


! Zn2SiRh (PBE-GGA, relaxed); values from VASP
! Fermi-level density of states ... 5.02 states/eV/cell
! Formation energy without anion corrections ... 0.40 eV/f.u.
&SYSTEM
  ibrav = 0, nat = 8, ntyp = 3
/
ATOMIC_SPECIES
Zn 65.41 Zn.upf
Rh 102.91 Rh.upf
Si 28.09 Si.upf
ATOMIC_POSITIONS crystal
Zn 0.623 0.125 0.250
Rh 0.000 0.000 0.000
Rh 0.750 0.250 0.500
Zn 0.875 0.873 0.750
Zn 0.375 0.377 0.750
Zn 0.127 0.625 0.250
Si 0.500 0.500 0.000
Si 0.250 0.750 0.500
CELL_PARAMETERS angstrom
-6.670 2.109 -1.518
-2.598 -5.538 3.719
-4.661 -0.348 3.117


! Zn2SiRh (PBE-GGA, relaxed); values from VASP
! Fermi-level density of states ... 1.72 states/eV/cell
! Formation energy without anion corrections ... -0.71 eV/f.u.
&SYSTEM
  ibrav = 0, nat = 4, ntyp = 3
/
ATOMIC_SPECIES
Zn 65.41 Zn.upf
Rh 102.91 Rh.upf
Si 28.09 Si.upf
ATOMIC_POSITIONS crystal
Zn 0.000 0.000 0.000
Zn 0.500 0.500 0.000
Rh 0.500 0.000 0.500
Si 0.000 0.500 0.500
CELL_PARAMETERS angstrom
5.370 0.237 0.062
-2.849 4.558 0.062
0.763 1.450 2.323


! Zn3SiRh (PBE-GGA, relaxed); values from VASP
! Fermi-level density of states ... 3.69 states/eV/cell
! Formation energy without anion corrections ... 3.65 eV/f.u.
! Energy relative to the lowest polymorph listed for this composition ... 182 meV/atom
&SYSTEM
  ibrav = 0, nat = 5, ntyp = 3
/
ATOMIC_SPECIES
Zn 65.41 Zn.upf
Rh 102.91 Rh.upf
Si 28.09 Si.upf
ATOMIC_POSITIONS crystal
Zn 0.500 0.000 0.000
Zn 0.000 0.000 0.500
Rh 0.500 0.500 0.500
Zn 0.000 0.500 0.000
Si 0.000 0.000 0.000
CELL_PARAMETERS angstrom
-3.537 2.815 0.106
-1.775 -2.096 -3.592
-2.187 -2.851 2.745


! ZnSiRh (PBE-GGA, relaxed); values from VASP
! Fermi-level density of states ... 4.70 states/eV/cell
! Formation energy without anion corrections ... -0.81 eV/f.u.
&SYSTEM
  ibrav = 0, nat = 12, ntyp = 3
/
ATOMIC_SPECIES
Zn 65.41 Zn.upf
Rh 102.91 Rh.upf
Si 28.09 Si.upf
ATOMIC_POSITIONS crystal
Zn 0.125 0.375 0.750
Rh 0.092 0.592 0.500
Rh 0.408 0.908 0.500
Si 0.424 0.924 0.849
Si 0.826 0.826 0.651
Zn 0.625 0.375 0.250
Rh 0.842 0.842 0.000
Si 0.076 0.576 0.151
Si 0.174 0.174 0.349
Zn 0.625 0.375 0.750
Zn 0.625 0.875 0.250
Rh 0.158 0.158 0.000
CELL_PARAMETERS angstrom
-2.403 -4.049 3.842
5.142 -3.066 1.041
-0.240 6.881 1.768


! Zn2SiRh (PBE-GGA, relaxed); values from VASP
! Fermi-level density of states ... 1.61 states/eV/cell
! Formation energy without anion corrections ... -0.86 eV/f.u.
&SYSTEM
  ibrav = 0, nat = 4, ntyp = 3
/
ATOMIC_SPECIES
Zn 65.41 Zn.upf
Si 28.09 Si.upf
Rh 102.91 Rh.upf
ATOMIC_POSITIONS crystal
Zn 0.008 0.008 0.996
Si 0.250 0.250 0.250
Rh 0.750 0.750 0.750
Zn 0.492 0.492 0.504
CELL_PARAMETERS angstrom
-2.651 2.627 -3.239
-4.053 2.696 -0.849
1.787 3.781 0.939


! Zn2SiRh (PBE-GGA, relaxed); values from VASP
! Fermi-level density of states ... 0.72 states/eV/cell
! Formation energy without anion corrections ... -0.85 eV/f.u.
&SYSTEM
  ibrav = 0, nat = 4, ntyp = 3
/
ATOMIC_SPECIES
Zn 65.41 Zn.upf
Rh 102.91 Rh.upf
Si 28.09 Si.upf
ATOMIC_POSITIONS crystal
Zn 0.246 0.246 0.246
Zn 0.004 0.004 0.004
Rh 0.494 0.494 0.494
Si 0.756 0.756 0.756
CELL_PARAMETERS angstrom
-0.745 8.182 1.634
-1.849 8.107 -1.017
-3.509 7.503 1.248


! ZnSiRh (PBE-GGA, relaxed); values from VASP
! Fermi-level density of states ... 1.21 states/eV/cell
! Formation energy without anion corrections ... -1.02 eV/f.u.
&SYSTEM
  ibrav = 0, nat = 3, ntyp = 3
/
ATOMIC_SPECIES
Zn 65.41 Zn.upf
Rh 102.91 Rh.upf
Si 28.09 Si.upf
ATOMIC_POSITIONS crystal
Zn 0.333 0.667 0.667
Rh 0.000 0.000 0.167
Si 0.667 0.333 0.166
CELL_PARAMETERS angstrom
-0.750 0.565 -3.954
-0.644 -3.639 1.690
-2.846 0.808 0.655


! ZnSiRh (PBE-GGA, relaxed); values from VASP
! Fermi-level density of states ... 1.34 states/eV/cell
! Formation energy without anion corrections ... -1.27 eV/f.u.
&SYSTEM
  ibrav = 0, nat = 3, ntyp = 3
/
ATOMIC_SPECIES
Zn 65.41 Zn.upf
Si 28.09 Si.upf
Rh 102.91 Rh.upf
ATOMIC_POSITIONS crystal
Zn 0.668 0.668 0.000
Si 0.347 0.347 0.000
Rh 0.985 0.985 0.000
CELL_PARAMETERS angstrom
-0.947 -3.869 2.510
-1.772 -3.938 -1.874
3.436 3.154 -0.637


! Zr2Si2Rh (PBE-GGA, relaxed); values from VASP
! Fermi-level density of states ... 5.29 states/eV/cell
! Formation energy without anion corrections ... -5.03 eV/f.u.
&SYSTEM
  ibrav = 0, nat = 10, ntyp = 3
/
ATOMIC_SPECIES
Rh 102.91 Rh.upf
Si 28.09 Si.upf
Zr 91.22 Zr.upf
ATOMIC_POSITIONS crystal
Rh 0.500 0.500 0.000
Si 0.864 0.636 0.000
Rh 0.000 0.000 0.000
Si 0.136 0.364 0.000
Zr 0.331 0.169 0.500
Si 0.364 0.864 0.000
Zr 0.169 0.669 0.500
Si 0.636 0.136 0.000
Zr 0.831 0.331 0.500
Zr 0.669 0.831 0.500
CELL_PARAMETERS angstrom
6.339 0.000 0.000
0.000 6.339 0.000
0.000 0.000 4.195


! ZrSiRh (PBE-GGA, relaxed); values from VASP
! Fermi-level density of states ... 11.32 states/eV/cell
! Formation energy without anion corrections ... -3.26 eV/f.u.
&SYSTEM
  ibrav = 0, nat = 18, ntyp = 3
/
ATOMIC_SPECIES
Si 28.09 Si.upf
Zr 91.22 Zr.upf
Rh 102.91 Rh.upf
ATOMIC_POSITIONS crystal
Si 0.750 0.229 0.084
Si 0.750 0.769 0.579
Si 0.250 0.724 0.250
Si 0.750 0.276 0.750
Zr 0.750 0.526 0.381
Rh 0.750 0.012 0.906
Rh 0.250 0.988 0.094
Rh 0.750 0.645 0.794
Rh 0.750 0.148 0.544
Zr 0.250 0.474 0.619
Zr 0.250 0.981 0.707
Rh 0.250 0.355 0.206
Si 0.250 0.231 0.421
Si 0.250 0.771 0.916
Rh 0.250 0.852 0.456
Zr 0.250 0.347 0.922
Zr 0.750 0.653 0.078
Zr 0.750 0.019 0.293
CELL_PARAMETERS angstrom
3.797 0.000 0.000
0.000 6.691 0.037
0.000 0.044 11.491


! ZrSi2Rh3 (PBE-GGA, relaxed); values from VASP
! Fermi-level density of states ... 9.66 states/eV/cell
! Formation energy without anion corrections ... -5.47 eV/f.u.
&SYSTEM
  ibrav = 0, nat = 18, ntyp = 3
/
ATOMIC_SPECIES
Si 28.09 Si.upf
Rh 102.91 Rh.upf
Zr 91.22 Zr.upf
ATOMIC_POSITIONS crystal
Si 0.196 0.392 0.129
Rh 0.781 0.562 0.610
Zr 0.158 0.316 0.687
Si 0.458 0.916 0.220
Rh 0.038 0.075 0.324
Rh 0.962 0.925 0.676
Rh 0.617 0.234 0.194
Rh 0.383 0.766 0.806
Zr 0.000 0.000 0.000
Rh 0.321 0.642 0.042
Rh 0.500 0.000 0.500
Si 0.637 0.274 0.449
Rh 0.679 0.358 0.958
Zr 0.842 0.684 0.313
Si 0.363 0.726 0.551
Si 0.804 0.608 0.871
Si 0.542 0.084 0.780
Rh 0.219 0.438 0.390
CELL_PARAMETERS angstrom
-0.419 -1.598 -3.493
7.738 -1.523 1.906
-5.430 -6.941 3.826


! Zr2SiRh (PBE-GGA, relaxed); values from VASP
! Fermi-level density of states ... 2.01 states/eV/cell
! Formation energy without anion corrections ... -1.74 eV/f.u.
&SYSTEM
  ibrav = 0, nat = 4, ntyp = 3
/
ATOMIC_SPECIES
Rh 102.91 Rh.upf
Zr 91.22 Zr.upf
Si 28.09 Si.upf
ATOMIC_POSITIONS crystal
Rh 0.250 0.250 0.250
Zr 0.498 0.498 0.498
Si 0.750 0.750 0.750
Zr 0.002 0.002 0.002
CELL_PARAMETERS angstrom
-3.240 3.327 -5.415
-2.618 -0.068 -6.636
-5.509 0.606 -4.492


no.,magnetization (Bohr magnetons per cell)
1,0.00
2,0.00
3,0.00
4,0.00
5,0.00
6,0.00
7,0.00
8,0.00
9,0.00
10,0.00
11,0.00
12,0.00
13,0.00
14,0.00